{
  "formula": "CoSbBr",
  "functional": "PBE-GGA",
  "state": "optimized geometry",
  "cell": [[0.0000, 2.7152, 6.6124], [1.9441, 0.0000, 6.6124], [1.9441, 2.7152, 0.0000]],
  "species": ["Co", "Sb", "Br"],
  "fractional_positions": [[0.0000, 0.0000, 0.0000], [0.6238, 0.6238, 0.3762], [0.3785, 0.3785, 0.6215]],
  "m_tot_mub_per_cell": 1.3,
  "e_tot_ha_per_atom": -0.1500,
  "raw_formation_energy_kj_per_mol_fu": 63,
  "relative_energy_mev_per_atom": 213
}

---

{
  "formula": "Ca3InAg",
  "functional": "PBE-GGA",
  "state": "optimized geometry",
  "cell": [[5.6786, 0.0000, 0.0000], [0.0000, 5.6786, 0.0000], [0.0000, 0.0000, 5.6786]],
  "species": ["Ca", "Ca", "Ca", "In", "Ag"],
  "fractional_positions": [[0.0000, 0.0000, 0.5000], [0.0000, 0.5000, 0.0000], [0.5000, 0.0000, 0.0000], [0.5000, 0.5000, 0.5000], [0.0000, 0.0000, 0.0000]],
  "m_tot_mub_per_cell": 0.0,
  "e_tot_ha_per_atom": -0.0869,
  "relative_energy_mev_per_atom": 263
}

---

{
  "formula": "Tm4BiTe",
  "functional": "PBE-GGA",
  "state": "optimized geometry",
  "cell": [[-4.9517, 4.9517, 4.2849], [4.9517, -4.9517, 4.2849], [4.9517, 4.9517, -4.2849]],
  "species": ["Tm", "Tm", "Tm", "Tm", "Tm", "Tm", "Tm", "Tm", "Bi", "Bi", "Te", "Te"],
  "fractional_positions": [[0.2029, 0.0000, 0.2029], [0.2346, 0.5240, 0.2894], [0.2346, 0.9452, 0.7106], [0.2740, 0.4846, 0.7894], [0.6952, 0.4846, 0.2106], [0.7500, 0.0471, 0.2971], [0.7500, 0.4529, 0.7029], [0.7971, 0.0000, 0.7971], [0.4861, 0.9861, 0.5000], [0.7361, 0.7361, 0.0000], [0.2482, 0.2482, 0.0000], [0.9982, 0.4982, 0.5000]],
  "m_tot_mub_per_cell": 0.0,
  "e_tot_ha_per_atom": -0.1598,
  "raw_formation_energy_kj_per_mol_fu": -114
}

---

{
  "formula": "In2FeHg",
  "functional": "PBE-GGA",
  "state": "optimized geometry",
  "cell": [[-1.4596, 2.3388, 6.5595], [1.4596, -2.3388, 6.5595], [1.4596, 2.3388, -6.5595]],
  "species": ["In", "In", "Fe", "Hg"],
  "fractional_positions": [[0.1811, 0.1811, 0.0000], [0.8189, 0.8189, 0.0000], [0.0000, 0.5000, 0.5000], [0.5000, 0.0000, 0.5000]],
  "m_tot_mub_per_cell": 2.3,
  "e_tot_ha_per_atom": -0.1221
}

---

Q: Number 2 is which compound?
A: Ca3InAg